A relaxed NiIrAu2 crystal. Source: Alexandria, functional PBE-GGA.

Cell: 5.4880 5.4880 5.4880 Å, 150.69 128.79 60.10°
Last column: nearest neighbours and their distance in Å.
Fractional coordinates of all 4 atoms:
Ir 0.4800 0.4800 0.0000  2 Ni 2.49, 4 Au 2.77, 2 Ir 2.78
Au 0.0157 0.0157 0.0000  2 Ni 2.72, 4 Ir 2.77, 4 Au 2.78-2.95
Au 0.7422 0.2422 0.5000  4 Ni 2.75, 4 Au 2.78-2.95, 2 Ir 2.85
Ni 0.2621 0.7621 0.5000  2 Ir 2.49, 6 Au 2.72-2.75, 2 Ni 2.78

Calculated values
Final energy (eV per atom): -5.0101
N(E_F) (states/eV/cell): 5.1
Density (g/cm3): 17.11



A relaxed NiIrAu2 crystal. Source: Alexandria, functional PBE-GGA.

Cell: 2.7971 4.7385 4.7410 Å, 90.00 90.00 90.00°
Last column: nearest neighbours and their distance in Å.
Fractional coordinates of all 4 atoms:
Ir 0.5000 0.0000 0.5000  4 Ni 2.75, 4 Au 2.75, 2 Ir 2.80
Au 0.5000 0.5000 0.0000  6 Au 2.75-2.80, 4 Ni 2.75
Au 0.0000 0.0000 0.0000  6 Au 2.75-2.80, 4 Ir 2.75
Ni 0.0000 0.5000 0.5000  4 Ir 2.75, 4 Au 2.75, 2 Ni 2.80

Calculated values
Final energy (eV per atom): -4.9298
N(E_F) (states/eV/cell): 5.8
Density (g/cm3): 17.04



A relaxed NiIrAu2 crystal. Source: Alexandria, functional PBE-GGA.

Cell: 9.3724 9.3724 9.3724 Å, 17.16 17.16 17.16°
Last column: nearest neighbours and their distance in Å.
Fractional coordinates of all 4 atoms:
Au 0.0079 0.0079 0.0079  3 Ni 2.73, 6 Au 2.80
Au 0.2469 0.2469 0.2469  9 Au 2.80-3.07, 3 Ir 2.95
Ir 0.4913 0.4913 0.4913  3 Ni 2.54, 6 Ir 2.80
Ni 0.7540 0.7540 0.7540  3 Ir 2.54, 3 Au 2.73, 6 Ni 2.80

Calculated values
Final energy (eV per atom): -5.1203
N(E_F) (states/eV/cell): 4.7
Density (g/cm3): 17.13



A relaxed NiIrAu2 crystal. Source: Alexandria, functional PBE-GGA.

Cell: 4.8748 4.8748 4.8397 Å, 77.93 77.93 33.67°
Last column: nearest neighbours and their distance in Å.
Fractional coordinates of all 4 atoms:
Au 0.7553 0.7553 0.7427  4 Ni 2.73-2.88, 5 Au 2.78-2.88, 3 Ir 2.82-2.83
Au 0.9918 0.9918 0.0069  4 Ir 2.75-2.87, 5 Au 2.78-2.88, 3 Ni 2.79-2.87
Ir 0.5124 0.5124 0.4837  2 Ni 2.58, 7 Au 2.75-2.87, 2 Ir 2.82
Ni 0.2406 0.2406 0.2666  2 Ir 2.58, 7 Au 2.73-2.88, 2 Ni 2.82

Calculated values
Final energy (eV per atom): -5.0218
N(E_F) (states/eV/cell): 4.9
Density (g/cm3): 17.21



A relaxed Ni2IrAu2 crystal. Source: Alexandria, functional PBE-GGA.

Cell: 6.3281 6.3281 3.7640 Å, 90.00 90.00 90.00°
Last column: nearest neighbours and their distance in Å.
Fractional coordinates of all 10 atoms:
Ni 0.1300 0.3700 0.0000  1 Ni 2.33, 2 Ir 2.48, 2 Au 2.58
Ni 0.6300 0.1300 0.0000  1 Ni 2.33, 2 Ir 2.48, 2 Au 2.58
Ni 0.8700 0.6300 0.0000  1 Ni 2.33, 2 Ir 2.48, 2 Au 2.58
Ni 0.3700 0.8700 0.0000  1 Ni 2.33, 2 Ir 2.48, 2 Au 2.58
Au 0.8277 0.3277 0.5000  6 Ni 2.58-2.70
Au 0.1723 0.6723 0.5000  6 Ni 2.58-2.70
Au 0.3277 0.1723 0.5000  6 Ni 2.58-2.70
Au 0.6723 0.8277 0.5000  6 Ni 2.58-2.70
Ir 0.5000 0.5000 0.0000  4 Ni 2.48
Ir 0.0000 0.0000 0.0000  4 Ni 2.48

Calculated values
Final energy (eV per atom): -5.0131
N(E_F) (states/eV/cell): 12.6
Density (g/cm3): 15.50



A relaxed NiIr2Au crystal. Source: Alexandria, functional PBE-GGA.

Cell: 2.7523 2.7523 7.6625 Å, 90.00 90.00 90.00°
Last column: nearest neighbours and their distance in Å.
Fractional coordinates of all 4 atoms:
Ni 0.5000 0.5000 0.2500  8 Ir 2.57, 4 Ni 2.75
Ir 0.0000 0.0000 0.0314  4 Ni 2.57, 4 Ir 2.75
Ir 0.0000 0.0000 0.4686  4 Ni 2.57, 4 Ir 2.75
Au 0.5000 0.5000 0.7500  4 Au 2.75, 8 Ir 2.90

Calculated values
Final energy (eV per atom): -6.4240
N(E_F) (states/eV/cell): 4.3
Density (g/cm3): 18.31



Among the records above, which one has the highest density?
NiIr2Au